This record from Alexandria describes a geometry-optimized LaCoAs2O structure. The functional is PBE with a Hubbard U.

```
data_LaCoAs2O
_chemical_formula_sum 'La1 Co1 As2 O1'
_cell_length_a 4.6519
_cell_length_b 4.5864
_cell_length_c 4.6519
_cell_angle_alpha 90.00
_cell_angle_beta 90.00
_cell_angle_gamma 90.00
_symmetry_space_group_name_H-M 'P 1'
_symmetry_Int_Tables_number 1
loop_
_symmetry_equiv_pos_as_xyz
'x,y,z'
loop_
_atom_site_label
_atom_site_type_symbol
_atom_site_fract_x
_atom_site_fract_y
_atom_site_fract_z
As1 As 0.0000 0.0000 0.5000
As2 As 0.5000 0.0000 0.0000
Co1 Co 0.5000 0.5000 0.5000
O1 O 0.0000 0.0000 0.0000
La1 La 0.0000 0.5000 0.0000
```

Values from the calculation:
Its final energy is -26.247 eV per cell. The calculation puts the density of states at the Fermi level at 2.1 states/eV/cell. The total magnetization is 2.0 μB/f.u.